1.
This record from the Alexandria database describes crystalline SiMo3Cl at its relaxed geometry. The functional is GGA-PBE.

CIF file:
```
data_SiMo3Cl
_symmetry_space_group_name_H-M 'P 1'
_symmetry_Int_Tables_number 1
_cell_length_a 4.379
_cell_length_b 4.379
_cell_length_c 4.379
_cell_angle_alpha 90.00
_cell_angle_beta 90.00
_cell_angle_gamma 90.00
loop_
_symmetry_equiv_pos_as_xyz
'x,y,z'
loop_
_atom_site_label
_atom_site_fract_x
_atom_site_fract_y
_atom_site_fract_z
Mo1 0.000 0.500 0.000
Mo2 0.000 0.000 0.500
Mo3 0.500 0.000 0.000
Si1 0.500 0.500 0.500
Cl1 0.000 0.000 0.000
```

## Properties
As for the energy above the lowest structure with this stoichiometry: 0.0 kJ/mol of atoms. The value obtained for the magnetization is 0.000 μB per atom.

=====

2.
This record from the Alexandria database describes crystalline SiMoCl at its relaxed geometry. The functional is GGA-PBE.

CIF file:
```
data_SiMoCl
_symmetry_space_group_name_H-M 'P 1'
_symmetry_Int_Tables_number 1
_cell_length_a 3.126
_cell_length_b 3.186
_cell_length_c 11.691
_cell_angle_alpha 90.00
_cell_angle_beta 90.33
_cell_angle_gamma 90.00
loop_
_symmetry_equiv_pos_as_xyz
'x,y,z'
loop_
_atom_site_label
_atom_site_fract_x
_atom_site_fract_y
_atom_site_fract_z
Si1 0.459 0.000 0.999
Si2 0.454 0.000 0.763
Mo1 0.962 0.500 0.115
Mo2 0.957 0.500 0.874
Cl1 0.465 0.500 0.273
Cl2 0.451 0.000 0.587
```

## Properties
As for the energy above the lowest structure with this stoichiometry: 8.8 kJ/mol of atoms. The value obtained for the magnetization is 0.114 μB per atom.

=====

Formation energy (no corrections): 1.13, -0.39 (eV/atom)